The following is a PBE-GGA calculation of crystalline MoBr3Cl2 at its relaxed geometry, from OQMD via LeMat-Bulk.

Cell lengths 6.4894, 7.0566, 9.7081 Å; angles 108.15, 91.51, 115.06 degrees
Closest atoms and distances in Å follow each position.
Sites, in units of the cell vectors:
Br (0.7542, 0.8172, 0.0453)  2 Mo 2.68-2.70
Br (0.4429, 0.5709, 0.3346)  1 Mo 2.42
Br (0.9298, 0.1907, 0.4300)  1 Mo 2.43
Br (0.0702, 0.8093, 0.5700)  1 Mo 2.43
Br (0.5571, 0.4291, 0.6654)  1 Mo 2.42
Br (0.2458, 0.1828, 0.9547)  2 Mo 2.68-2.70
Cl (0.8914, 0.3677, 0.1434)  1 Mo 2.29
Cl (0.2905, 0.0090, 0.2393)  1 Mo 2.30
Cl (0.7095, 0.9910, 0.7607)  1 Mo 2.30
Cl (0.1086, 0.6323, 0.8566)  1 Mo 2.29
Mo (0.1054, 0.2151, 0.2142)  2 Cl 2.29-2.30, 2 Br 2.42-2.43
Mo (0.8946, 0.7849, 0.7858)  2 Cl 2.29-2.30, 2 Br 2.42-2.43

Values from the calculation:
volume	376.16	Å³/cell
size of the total moment	0.165	μB/atom
space group	P-1, No. 2
electronic total energy	-0.1413	Ha/atom

---

The following is a PBE-GGA calculation of crystalline MoBr3Cl at its relaxed geometry, from OQMD via LeMat-Bulk.

Cell lengths 7.2838, 7.2838, 8.8610 Å; angles 125.18, 125.18, 56.49 degrees
Closest atoms and distances in Å follow each position.
Sites, in units of the cell vectors:
Br (0.7355, 0.2189, 0.2025)  1 Mo 2.47
Br (0.2189, 0.7355, 0.2025)  1 Mo 2.47
Br (0.3202, 0.3202, 0.3472)  2 Mo 2.67
Br (0.6798, 0.6798, 0.6528)  2 Mo 2.67
Br (0.7811, 0.2645, 0.7975)  1 Mo 2.47
Br (0.2645, 0.7811, 0.7975)  1 Mo 2.47
Cl (0.8043, 0.8043, 0.3333)  2 Mo 2.39
Cl (0.1957, 0.1957, 0.6667)  2 Mo 2.39
Mo (0.7920, 0.2080, 0.5000)  2 Cl 2.39, 4 Br 2.47-2.67
Mo (0.2080, 0.7920, 0.5000)  2 Cl 2.39, 4 Br 2.47-2.67

Values from the calculation:
volume	296.53	Å³/cell
size of the total moment	0.200	μB/atom
space group	C2/m, No. 12
electronic total energy	-0.1513	Ha/atom

---

The following is a PBE-GGA calculation of crystalline MoBr2Cl3 at its relaxed geometry, from OQMD via LeMat-Bulk.

Cell lengths 6.4274, 6.9999, 9.5269 Å; angles 108.56, 91.13, 115.42 degrees
Closest atoms and distances in Å follow each position.
Sites, in units of the cell vectors:
Br (0.4440, 0.5703, 0.3313)  1 Mo 2.41
Br (0.9283, 0.1893, 0.4304)  1 Mo 2.42
Br (0.0717, 0.8107, 0.5696)  1 Mo 2.42
Br (0.5560, 0.4297, 0.6687)  1 Mo 2.41
Cl (0.7689, 0.8276, 0.0435)  2 Mo 2.53-2.55
Cl (0.8868, 0.3633, 0.1389)  1 Mo 2.29
Cl (0.2896, 0.0047, 0.2350)  1 Mo 2.29
Cl (0.7104, 0.9953, 0.7650)  1 Mo 2.29
Cl (0.1132, 0.6367, 0.8611)  1 Mo 2.29
Cl (0.2311, 0.1724, 0.9565)  2 Mo 2.53-2.55
Mo (0.1023, 0.2092, 0.2088)  4 Cl 2.29-2.55, 2 Br 2.41-2.42
Mo (0.8977, 0.7908, 0.7912)  4 Cl 2.29-2.55, 2 Br 2.41-2.42

Values from the calculation:
volume	360.82	Å³/cell
size of the total moment	0.165	μB/atom
space group	P-1, No. 2
electronic total energy	-0.1449	Ha/atom

---

The following is a PBE-GGA calculation of crystalline MoBr4Cl at its relaxed geometry, from OQMD via LeMat-Bulk.

Cell lengths 6.6350, 7.2106, 9.6620 Å; angles 109.60, 90.57, 116.50 degrees
Closest atoms and distances in Å follow each position.
Sites, in units of the cell vectors:
Br (0.8804, 0.3737, 0.1441)  1 Mo 2.45
Br (0.3030, 0.0057, 0.2412)  1 Mo 2.46
Br (0.4425, 0.5707, 0.3296)  1 Mo 2.42
Br (0.9293, 0.1853, 0.4281)  1 Mo 2.42
Br (0.0707, 0.8147, 0.5719)  1 Mo 2.42
Br (0.5575, 0.4293, 0.6704)  1 Mo 2.42
Br (0.6970, 0.9943, 0.7588)  1 Mo 2.46
Br (0.1196, 0.6263, 0.8559)  1 Mo 2.45
Cl (0.7781, 0.8317, 0.0413)  2 Mo 2.53-2.54
Cl (0.2219, 0.1683, 0.9587)  2 Mo 2.53-2.54
Mo (0.1030, 0.2108, 0.2111)  4 Br 2.42-2.46, 2 Cl 2.53-2.54
Mo (0.8970, 0.7892, 0.7889)  4 Br 2.42-2.46, 2 Cl 2.53-2.54

Values from the calculation:
volume	382.66	Å³/cell
size of the total moment	0.165	μB/atom
space group	P-1, No. 2
electronic total energy	-0.1376	Ha/atom